1.
Pm5Pr8Sc | PBE | relaxed

## Properties
Its space group is I-4 (82). The value obtained for the density of states at the Fermi level is 1.54 states/eV per atom. The total DFT energy (no corrections) is -4.64 eV/atom. The value obtained for the energy of formation is 245 meV/atom. For the total moment, the calculation gives 0.0 μB per formula unit.

Cell: 8.6415 8.6415 8.6415 Å, 110.42 107.59 110.42°
Fractional coordinates of all 14 atoms:
Pm  0.0230  0.3082  0.1265
Pm  0.8735  0.8965  0.1818
Pm  0.8182  0.6918  0.7147
Pm  0.5000  0.0000  0.5000
Pm  0.2853  0.1035  0.9770
Pr  0.1709  0.7261  0.0615
Pr  0.9385  0.1094  0.6646
Pr  0.7414  0.2645  0.3445
Pr  0.6555  0.3970  0.9200
Pr  0.5230  0.6030  0.2586
Pr  0.5552  0.8906  0.8291
Pr  0.3354  0.2739  0.4448
Pr  0.0800  0.7355  0.4770
Sc  0.2500  0.5000  0.7500



2.
TlGaHg2 | PBE | relaxed

## Properties
Its space group is P4/mmm (123). The value obtained for the density of states at the Fermi level is 0.35 states/eV per atom. The total DFT energy (no corrections) is -1.44 eV/atom. The value obtained for the energy of formation is 62 meV/atom. For the total moment, the calculation gives 0.0 μB per formula unit.

Cell: 4.6701 4.6962 4.6962 Å, 90.00 90.00 90.00°
Fractional coordinates of all 4 atoms:
Tl  0.5000  0.0000  0.0000
Hg  0.0000  0.0000  0.5000
Hg  0.0000  0.5000  0.0000
Ga  0.5000  0.5000  0.5000



3.
YRh3Se | PBE | relaxed

## Properties
The value obtained for the energy above the most stable polymorph in this dataset is 0 meV per atom. Its space group is Pm-3m (221). The value obtained for the density of states at the Fermi level is 1.31 states/eV per atom. The total DFT energy (no corrections) is -6.62 eV/atom. Its formation energy without anion corrections is -0.224 eV per atom. For the total moment, the calculation gives 0.0 μB per formula unit.

Cell: 4.6138 4.6138 4.6138 Å, 90.00 90.00 90.00°
Fractional coordinates of all 5 atoms:
Y  0.5000  0.5000  0.5000
Rh  0.0000  0.5000  0.0000
Rh  0.0000  0.0000  0.5000
Rh  0.5000  0.0000  0.0000
Se  0.0000  0.0000  0.0000



4.
Na6TlHg8 | PBE | relaxed

## Properties
Its space group is R-3 (148). The value obtained for the density of states at the Fermi level is 0.43 states/eV per atom. The total DFT energy (no corrections) is -1.03 eV/atom. The value obtained for the energy of formation is -180 meV/atom. For the total moment, the calculation gives 0.0 μB per formula unit.

Cell: 7.9947 7.9947 7.9947 Å, 68.51 68.51 68.51°
Fractional coordinates of all 15 atoms:
Na  0.6469  0.4097  0.1453
Na  0.1453  0.6469  0.4097
Na  0.4097  0.1453  0.6469
Na  0.3531  0.5903  0.8547
Na  0.8547  0.3531  0.5903
Na  0.5903  0.8547  0.3531
Tl  0.0000  0.0000  0.0000
Hg  0.2674  0.2674  0.2674
Hg  0.7326  0.7326  0.7326
Hg  0.0663  0.4087  0.8426
Hg  0.8426  0.0663  0.4087
Hg  0.4087  0.8426  0.0663
Hg  0.9337  0.5913  0.1574
Hg  0.1574  0.9337  0.5913
Hg  0.5913  0.1574  0.9337